This record from the Alexandria database describes crystalline LiNi6Ge6 at its relaxed geometry. The functional is PBE.

a b c (Å): 5.071 6.403 6.403
angles (deg): 75.55 66.67 66.67
Atoms (fractional coordinates):
Li (0.000, 0.000, 0.000)
Ni (0.000, 0.500, 0.000)
Ni (0.500, 0.500, 0.000)
Ni (0.000, 0.000, 0.500)
Ni (0.500, 0.000, 0.500)
Ni (0.500, 0.743, 0.257)
Ni (0.500, 0.257, 0.743)
Ge (0.328, 0.672, 0.672)
Ge (0.672, 0.328, 0.328)
Ge (0.000, 0.338, 0.662)
Ge (0.000, 0.662, 0.338)
Ge (0.339, 0.161, 0.161)
Ge (0.661, 0.839, 0.839)

Values from the calculation:
For the calculated volume, the calculation gives 174.3 Å³/cell. For the formation energy, the calculation gives -319 meV per atom.